No. 1
The following is a PBE calculation of an optimized crystal structure of CeSi6Ru12, from the Alexandria database.

Cell lengths 6.8826, 6.8826, 6.8826 Å; angles 103.96, 103.96, 103.96 degrees
Closest atoms and distances in Å follow each position.
Sites, in units of the cell vectors:
Ru (0.5000, 0.1326, 0.8674)  4 Si 2.31-2.38
Ru (0.5484, 0.5484, 0.8179)  3 Si 2.45-2.47
Ru (0.5000, 0.8674, 0.1326)  4 Si 2.31-2.38
Ru (0.1821, 0.4516, 0.4516)  3 Si 2.45-2.47
Ru (0.1326, 0.8674, 0.5000)  4 Si 2.31-2.38
Ru (0.5484, 0.8179, 0.5484)  3 Si 2.45-2.47
Ru (0.8674, 0.1326, 0.5000)  4 Si 2.31-2.38
Ru (0.1326, 0.5000, 0.8674)  4 Si 2.31-2.38
Ru (0.4516, 0.1821, 0.4516)  3 Si 2.45-2.47
Ru (0.8179, 0.5484, 0.5484)  3 Si 2.45-2.47
Ru (0.8674, 0.5000, 0.1326)  4 Si 2.31-2.38
Ru (0.4516, 0.4516, 0.1821)  3 Si 2.45-2.47
Si (0.6857, 0.2352, 0.2352)  7 Ru 2.31-2.47
Si (0.2352, 0.2352, 0.6857)  7 Ru 2.31-2.47
Si (0.2352, 0.6857, 0.2352)  7 Ru 2.31-2.47
Si (0.7648, 0.3143, 0.7648)  7 Ru 2.31-2.47
Si (0.7648, 0.7648, 0.3143)  7 Ru 2.31-2.47
Si (0.3143, 0.7648, 0.7648)  7 Ru 2.31-2.47
Ce (0.0000, 0.0000, 0.0000)  6 Si 3.47, 18 Ru 3.53-3.73

Summary:
M_tot ... 0.68 μB/cell
Formation energy (no corrections) ... -0.39 eV per atom
E ... -8.278 eV/atom
Calculated density ... 8.68 g cm⁻³
SG ... No. 166

No. 2
The following is a PBE calculation of an optimized crystal structure of TmPuAg2O8, from the Alexandria database.

Cell lengths 6.0600, 6.0600, 6.0600 Å; angles 112.29, 112.29, 103.97 degrees
Closest atoms and distances in Å follow each position.
Sites, in units of the cell vectors:
O (0.2808, 0.4556, 0.1748)  1 Ag 2.02, 1 Tm 2.21
O (0.5444, 0.7192, 0.8252)  1 Ag 2.02, 1 Tm 2.21
O (0.7284, 0.0180, 0.7104)  1 Pu 1.96
O (0.9820, 0.6923, 0.7104)  1 Pu 1.96
O (0.3077, 0.0180, 0.2896)  1 Pu 1.96
O (0.9820, 0.2716, 0.2896)  1 Pu 1.96
O (0.2808, 0.1059, 0.8252)  1 Ag 2.02, 1 Tm 2.21
O (0.8941, 0.7192, 0.1748)  1 Ag 2.02, 1 Tm 2.21
Ag (0.7500, 0.2500, 0.5000)  4 O 2.24
Ag (0.5000, 0.5000, 0.0000)  4 O 2.02
Pu (0.0000, 0.0000, 0.0000)  4 O 1.96
Tm (0.2500, 0.7500, 0.5000)  8 O 2.21-2.45

Summary:
M_tot ... 0.09 μB/cell
Formation energy (no corrections) ... -1.33 eV per atom
E ... -6.680 eV/atom
Calculated density ... 7.38 g cm⁻³
SG ... No. 119

No. 3
The following is a PBE calculation of an optimized crystal structure of SrPrSm4Se8, from the Alexandria database.

Cell lengths 8.6936, 8.6936, 8.7374 Å; angles 60.17, 60.17, 60.00 degrees
Closest atoms and distances in Å follow each position.
Sites, in units of the cell vectors:
Sm (0.6254, 0.6254, 0.1238)  4 Se 2.82-2.84
Sm (0.4948, 0.0016, 0.5019)  6 Se 2.90-3.01
Sm (0.0016, 0.0016, 0.5019)  6 Se 2.90-3.01
Sm (0.0016, 0.4948, 0.5019)  6 Se 2.90-3.01
Se (0.7547, 0.7547, 0.2620)  3 Sm 2.82-3.00, 1 Pr 3.05
Se (0.2409, 0.2409, 0.7324)  2 Sm 2.90, 1 Sr 2.93, 1 Pr 2.96
Se (0.7858, 0.2409, 0.7324)  2 Sm 2.90, 1 Sr 2.93, 1 Pr 2.96
Se (0.7579, 0.7579, 0.7264)  4 Sm 2.84-3.01
Se (0.2409, 0.7858, 0.7324)  2 Sm 2.90, 1 Sr 2.93, 1 Pr 2.96
Se (0.2286, 0.7547, 0.2620)  3 Sm 2.82-3.00, 1 Pr 3.05
Se (0.2372, 0.2372, 0.2885)  3 Sm 2.91, 1 Sr 2.94
Se (0.7547, 0.2286, 0.2620)  3 Sm 2.82-3.00, 1 Pr 3.05
Pr (0.0018, 0.0018, 0.9945)  6 Se 2.96-3.05
Sr (0.3740, 0.3740, 0.8780)  4 Se 2.93-2.94

Summary:
M_tot ... 0.00 μB/cell
Formation energy (no corrections) ... -1.80 eV per atom
E ... -5.602 eV/atom
Calculated density ... 5.18 g cm⁻³
SG ... No. 160

No. 4
The following is a PBE calculation of an optimized crystal structure of ZrCl, from the Alexandria database.

Cell lengths 4.1053, 4.1053, 4.1053 Å; angles 60.00, 60.00, 60.00 degrees
Closest atoms and distances in Å follow each position.
Sites, in units of the cell vectors:
Zr (0.7500, 0.7500, 0.7500)  4 Cl 2.51
Cl (0.0000, 0.0000, 0.0000)  4 Zr 2.51

Summary:
M_tot ... 0.00 μB/cell
Formation energy (no corrections) ... -0.11 eV per atom
E ... -5.303 eV/atom
Calculated density ... 4.30 g cm⁻³
SG ... No. 216

No. 5
The following is a PBE calculation of an optimized crystal structure of Al2IrPdAu, from the Alexandria database.

Cell lengths 4.6051, 4.9352, 4.6051 Å; angles 90.00, 90.00, 90.00 degrees
Closest atoms and distances in Å follow each position.
Sites, in units of the cell vectors:
Al (0.0000, 0.0000, 0.5000)  2 Au 2.30
Al (0.5000, 0.0000, 0.0000)  2 Au 2.30
Au (0.0000, 0.0000, 0.0000)  4 Al 2.30, 2 Pd 2.47
Pd (0.0000, 0.5000, 0.0000)  2 Au 2.47
Ir (0.5000, 0.5000, 0.5000)  4 Pd 3.26, 8 Al 3.37

Summary:
M_tot ... 0.00 μB/cell
E ... -4.060 eV/atom
Formation energy from the elements ... 903 meV/atom
Calculated density ... 8.72 g cm⁻³
SG ... No. 123

No. 6
The following is a PBE calculation of an optimized crystal structure of AlHBr, from the Alexandria database.

Cell lengths 4.5016, 7.3314, 6.4409 Å; angles 48.22, 81.81, 61.86 degrees
Closest atoms and distances in Å follow each position.
Sites, in units of the cell vectors:
Al (0.0265, 0.3222, 0.7744)  2 H 1.68-1.86
Al (0.3932, 0.5877, 0.5061)  2 H 1.68-1.86
Br (0.2181, 0.1193, 0.2495)  1 Al 2.41
Br (0.2017, 0.7907, 0.0309)  1 Al 2.41
H (0.0366, 0.6387, 0.6298)  2 Al 1.68-1.86
H (0.3830, 0.2713, 0.6506)  2 Al 1.68-1.86

Summary:
M_tot ... 0.00 μB/cell
E ... -3.361 eV/atom
Calculated density ... 2.66 g cm⁻³
SG ... No. 2

No. 7
The following is a PBE calculation of an optimized crystal structure of CaTb3Er4Se8, from the Alexandria database.

Cell lengths 8.1528, 8.1495, 8.1522 Å; angles 120.01, 120.00, 90.00 degrees
Closest atoms and distances in Å follow each position.
Sites, in units of the cell vectors:
Se (0.2481, 0.2443, 0.4962)  3 Er 2.86, 3 Tb 2.90
Se (0.7521, 0.7554, 0.0038)  3 Er 2.86, 1 Ca 2.90, 2 Tb 2.90
Se (0.2516, 0.7554, 0.0038)  3 Er 2.86, 1 Ca 2.90, 2 Tb 2.90
Se (0.7483, 0.2445, 0.4966)  3 Er 2.86, 1 Ca 2.90, 2 Tb 2.90
Se (0.2517, 0.7555, 0.5034)  3 Er 2.86, 1 Ca 2.90, 2 Tb 2.90
Se (0.2479, 0.2446, 0.9962)  3 Er 2.86, 1 Ca 2.90, 2 Tb 2.90
Se (0.7484, 0.2446, 0.9962)  3 Er 2.86, 1 Ca 2.90, 2 Tb 2.90
Se (0.7519, 0.7557, 0.5038)  3 Er 2.86, 3 Tb 2.90
Er (0.0000, 0.0000, 0.0000)  6 Se 2.86
Er (0.0000, 0.0000, 0.5000)  6 Se 2.86
Er (0.5000, 0.0000, 0.5000)  6 Se 2.86
Er (0.5000, 0.0000, 0.0000)  6 Se 2.86
Tb (0.5000, 0.5000, 0.5000)  6 Se 2.90
Tb (0.5000, 0.5000, 0.0000)  6 Se 2.90
Tb (0.0000, 0.5000, 0.5000)  6 Se 2.90
Ca (0.0000, 0.5000, 0.0000)  6 Se 2.90

Summary:
M_tot ... 0.00 μB/cell
Formation energy (no corrections) ... -1.76 eV per atom
E ... -5.632 eV/atom
Calculated density ... 7.88 g cm⁻³
SG ... No. 166

No. 8
The following is a PBE calculation of an optimized crystal structure of Pa7GeI12, from the Alexandria database.

Cell lengths 9.7746, 9.7747, 9.7747 Å; angles 109.17, 109.17, 109.17 degrees
Closest atoms and distances in Å follow each position.
Sites, in units of the cell vectors:
Ge (0.0000, 0.0000, 0.0000)  6 Pa 2.78
Pa (0.9329, 0.6721, 0.8657)  1 Ge 2.78, 2 I 3.09-3.10
Pa (0.5000, 0.5000, 0.5000)  6 I 3.17
Pa (0.8657, 0.9329, 0.6721)  1 Ge 2.78, 2 I 3.09-3.10
Pa (0.1343, 0.0671, 0.3279)  1 Ge 2.78, 2 I 3.09-3.10
Pa (0.6721, 0.8657, 0.9329)  1 Ge 2.78, 2 I 3.09-3.10
Pa (0.3279, 0.1343, 0.0671)  1 Ge 2.78, 2 I 3.09-3.10
Pa (0.0671, 0.3279, 0.1343)  1 Ge 2.78, 2 I 3.09-3.10
I (0.4077, 0.4963, 0.1557)  3 Pa 3.09-3.17
I (0.4963, 0.1557, 0.4077)  3 Pa 3.09-3.17
I (0.6952, 0.2204, 0.0729)  3 Pa 3.18-3.38
I (0.8443, 0.5923, 0.5037)  3 Pa 3.09-3.17
I (0.9271, 0.3048, 0.7796)  3 Pa 3.18-3.38
I (0.5923, 0.5037, 0.8443)  3 Pa 3.09-3.17
I (0.5037, 0.8443, 0.5923)  3 Pa 3.09-3.17
I (0.1557, 0.4077, 0.4963)  3 Pa 3.09-3.17
I (0.2204, 0.0729, 0.6952)  3 Pa 3.18-3.38
I (0.7796, 0.9271, 0.3048)  3 Pa 3.18-3.38
I (0.3048, 0.7796, 0.9271)  3 Pa 3.18-3.38
I (0.0729, 0.6952, 0.2204)  3 Pa 3.18-3.38

Summary:
M_tot ... 6.74 μB/cell
Formation energy (no corrections) ... -0.59 eV per atom
E ... -5.076 eV/atom
Calculated density ... 7.34 g cm⁻³
SG ... No. 148

No. 9
The following is a PBE calculation of an optimized crystal structure of MnSe2Cl, from the Alexandria database.

Cell lengths 7.6515, 7.6515, 7.6515 Å; angles 27.05, 27.05, 27.05 degrees
Closest atoms and distances in Å follow each position.
Sites, in units of the cell vectors:
Cl (0.2500, 0.2500, 0.2500)  6 Se 3.10
Se (0.0212, 0.0212, 0.0212)  3 Mn 2.48
Se (0.4788, 0.4788, 0.4788)  3 Mn 2.48
Mn (0.7500, 0.7500, 0.7500)  6 Se 2.48

Summary:
M_tot ... 2.68 μB/cell
Formation energy (no corrections) ... -0.28 eV per atom
E ... -4.776 eV/atom
Relative energy among the computed polymorphs ... 187.0 meV per atom
Calculated density ... 5.04 g cm⁻³
SG ... No. 166

No. 10
The following is a PBE calculation of an optimized crystal structure of Sm5MgS6, from the Alexandria database.

Cell lengths 6.8548, 6.8687, 6.8918 Å; angles 60.11, 80.40, 70.44 degrees
Closest atoms and distances in Å follow each position.
Sites, in units of the cell vectors:
Mg (0.0000, 0.0000, 0.0000)  6 S 2.65-2.66
Sm (0.0000, 0.3333, 0.3334)  6 S 2.82-2.83
Sm (0.0000, 0.6667, 0.6666)  6 S 2.82-2.83
Sm (0.5000, 0.1707, 0.6586)  6 S 2.80-2.92
Sm (0.5000, 0.8293, 0.3414)  6 S 2.80-2.92
Sm (0.5000, 0.5000, 0.0000)  6 S 2.81-2.95
S (0.2382, 0.9210, 0.6847)  1 Mg 2.66, 5 Sm 2.80-2.92
S (0.7599, 0.7666, 0.0000)  1 Mg 2.65, 5 Sm 2.83-2.95
S (0.7618, 0.0790, 0.3153)  1 Mg 2.66, 5 Sm 2.80-2.92
S (0.2382, 0.6057, 0.3153)  1 Mg 2.66, 5 Sm 2.80-2.92
S (0.2401, 0.2334, 0.0000)  1 Mg 2.65, 5 Sm 2.83-2.95
S (0.7618, 0.3943, 0.6847)  1 Mg 2.66, 5 Sm 2.80-2.92

Summary:
M_tot ... 0.00 μB/cell
Formation energy (no corrections) ... -1.88 eV per atom
E ... -6.045 eV/atom
Calculated density ... 6.07 g cm⁻³
SG ... No. 12

No. 11
The following is a PBE calculation of an optimized crystal structure of ZnMo2As, from the Alexandria database.

Cell lengths 4.3964, 4.3964, 4.3964 Å; angles 60.00, 60.00, 60.00 degrees
Closest atoms and distances in Å follow each position.
Sites, in units of the cell vectors:
Mo (0.2500, 0.2500, 0.2500)  4 As 2.69, 4 Zn 2.69
Mo (0.7500, 0.7500, 0.7500)  4 As 2.69, 4 Zn 2.69
Zn (0.0000, 0.0000, 0.0000)  8 Mo 2.69
As (0.5000, 0.5000, 0.5000)  8 Mo 2.69

Summary:
M_tot ... 0.00 μB/cell
E ... -6.669 eV/atom
Formation energy from the elements ... 228 meV/atom
Relative energy among the computed polymorphs ... 199.7 meV per atom
Calculated density ... 9.18 g cm⁻³
SG ... No. 225